1.
{"formula": "MgCu3Au", "functional": "PBE", "state": "optimized geometry", "lattice": [[4.481, 0.000, 0.000], [0.000, 4.481, 0.000], [0.000, 0.000, 4.481]], "species": ["Mg", "Cu", "Cu", "Cu", "Au"], "frac_coords": [[0.000, 0.000, 0.000], [0.000, 0.000, 0.500], [0.000, 0.500, 0.000], [0.500, 0.000, 0.000], [0.500, 0.500, 0.500]], "polymorph_energy_ev_per_atom": 0.3466, "mass_density_kg_m3": 7604, "total_energy_ev_per_atom": -2.472, "dos_ef_per_ev_cell": 1.710, "space_group": "Pm-3m, No. 221"}

---

2.
{"formula": "Sr2LaCl", "functional": "PBE", "state": "optimized geometry", "lattice": [[8.758, 0.000, 0.000], [0.000, 8.758, 0.000], [0.000, 0.000, 8.758]], "species": ["Sr", "Sr", "Sr", "Sr", "Sr", "Sr", "Sr", "Sr", "La", "La", "La", "La", "Cl", "Cl", "Cl", "Cl"], "frac_coords": [[0.000, 0.000, 0.000], [0.000, 0.500, 0.500], [0.250, 0.250, 0.250], [0.250, 0.750, 0.750], [0.500, 0.000, 0.500], [0.500, 0.500, 0.000], [0.750, 0.250, 0.750], [0.750, 0.750, 0.250], [0.250, 0.250, 0.750], [0.250, 0.750, 0.250], [0.750, 0.250, 0.250], [0.750, 0.750, 0.750], [0.000, 0.000, 0.500], [0.000, 0.500, 0.000], [0.500, 0.000, 0.000], [0.500, 0.500, 0.500]], "polymorph_energy_ev_per_atom": 0.7553, "raw_formation_energy_ev_per_atom": -0.043, "mass_density_kg_m3": 3456, "total_energy_ev_per_atom": -2.578, "dos_ef_per_ev_cell": 22.787, "space_group": "F-43m, No. 216"}

---

3.
{"formula": "TcP2W", "functional": "PBE", "state": "optimized geometry", "lattice": [[4.218, 0.000, 0.000], [0.000, 4.218, 0.000], [0.000, 0.000, 2.981]], "species": ["Tc", "P", "P", "W"], "frac_coords": [[0.000, 0.000, 0.000], [0.000, 0.500, 0.500], [0.500, 0.000, 0.500], [0.500, 0.500, 0.000]], "polymorph_energy_ev_per_atom": 0.1449, "mass_density_kg_m3": 10762, "total_energy_ev_per_atom": -8.793, "dos_ef_per_ev_cell": 1.257, "space_group": "P4/mmm, No. 123"}

---

4.
{"formula": "KSc2Pt", "functional": "PBE", "state": "optimized geometry", "lattice": [[3.531, 0.000, 0.000], [0.000, 3.723, 0.000], [0.000, 0.000, 19.297]], "species": ["K", "K", "Sc", "Sc", "Sc", "Sc", "Pt", "Pt"], "frac_coords": [[0.000, 0.000, 0.000], [0.500, 0.500, 0.500], [0.000, 0.000, 0.327], [0.000, 0.500, 0.180], [0.500, 0.000, 0.680], [0.500, 0.500, 0.827], [0.000, 0.500, 0.727], [0.500, 0.000, 0.227]], "polymorph_energy_ev_per_atom": 0.1009, "mass_density_kg_m3": 4243, "total_energy_ev_per_atom": -5.222, "dos_ef_per_ev_cell": 9.672, "space_group": "Imm2, No. 44"}

---

5.
{"formula": "La6Sm3Sc", "functional": "PBE", "state": "optimized geometry", "lattice": [[5.023, 2.900, 4.042], [-5.023, 2.900, 4.042], [0.000, -5.800, 4.042]], "species": ["La", "La", "La", "La", "La", "La", "Sm", "Sm", "Sm", "Sc"], "frac_coords": [[0.075, 0.755, 0.419], [0.245, 0.581, 0.925], [0.419, 0.075, 0.755], [0.581, 0.925, 0.245], [0.755, 0.419, 0.075], [0.925, 0.245, 0.581], [0.245, 0.245, 0.245], [0.500, 0.500, 0.500], [0.755, 0.755, 0.755], [0.000, 0.000, 0.000]], "mass_density_kg_m3": 6250, "total_energy_ev_per_atom": -4.834, "dos_ef_per_ev_cell": 18.834, "space_group": "R-3, No. 148"}

---

6.
{"formula": "LaHf2P2", "functional": "PBE", "state": "optimized geometry", "lattice": [[4.886, 0.000, 0.000], [0.000, 4.886, 0.000], [0.000, 0.000, 9.409]], "species": ["La", "La", "Hf", "Hf", "Hf", "Hf", "P", "P", "P", "P"], "frac_coords": [[0.000, 0.000, 0.000], [0.500, 0.500, 0.500], [0.000, 0.000, 0.342], [0.000, 0.000, 0.658], [0.500, 0.500, 0.158], [0.500, 0.500, 0.842], [0.000, 0.500, 0.250], [0.000, 0.500, 0.750], [0.500, 0.000, 0.250], [0.500, 0.000, 0.750]], "polymorph_energy_ev_per_atom": 0.0607, "mass_density_kg_m3": 8247, "total_energy_ev_per_atom": -7.947, "dos_ef_per_ev_cell": 8.176, "space_group": "I4/mmm, No. 139"}

---

Repeat the fifth record exactly.
{"formula": "La6Sm3Sc", "functional": "PBE", "state": "optimized geometry", "lattice": [[5.023, 2.900, 4.042], [-5.023, 2.900, 4.042], [0.000, -5.800, 4.042]], "species": ["La", "La", "La", "La", "La", "La", "Sm", "Sm", "Sm", "Sc"], "frac_coords": [[0.075, 0.755, 0.419], [0.245, 0.581, 0.925], [0.419, 0.075, 0.755], [0.581, 0.925, 0.245], [0.755, 0.419, 0.075], [0.925, 0.245, 0.581], [0.245, 0.245, 0.245], [0.500, 0.500, 0.500], [0.755, 0.755, 0.755], [0.000, 0.000, 0.000]], "mass_density_kg_m3": 6250, "total_energy_ev_per_atom": -4.834, "dos_ef_per_ev_cell": 18.834, "space_group": "R-3, No. 148"}